[1]
Below is a geometry-optimized CaZrBe2 structure, with properties calculated at the PBE level.

```
data_CaZrBe2
_chemical_formula_sum 'Ca1 Zr1 Be2'
_space_group_name_H-M_alt 'P m m 2'
_space_group_IT_number 25
_space_group_name_Hall 'P 2 -2'
_cell_length_a 3.119
_cell_length_b 4.133
_cell_length_c 5.870
_cell_angle_alpha 90.00
_cell_angle_beta 90.00
_cell_angle_gamma 90.00
loop_
_atom_site_label
_atom_site_type_symbol
_atom_site_fract_x
_atom_site_fract_y
_atom_site_fract_z
_atom_site_occupancy
Ca1 Ca 0.000 0.000 0.000 1
Zr1 Zr 0.500 0.500 0.371 1
Be1 Be 0.000 0.000 0.525 1
Be2 Be 0.500 0.500 0.795 1
```

Results
Crystal system = orthorhombic
E above lowest polymorph = 1.672 eV per formula unit
Theoretical density = 3.28 g/cm³
ΔE_f = 0.55 eV per atom

=====

[2]
Below is a geometry-optimized RbSr2RuO4 structure, with properties calculated at the PBE level.

```
data_RbSr2RuO4
_chemical_formula_sum 'Rb4 Sr8 Ru4 O16'
_space_group_name_H-M_alt 'C m c m'
_space_group_IT_number 63
_space_group_name_Hall '-C 2c 2'
_cell_length_a 3.653
_cell_length_b 12.964
_cell_length_c 12.854
_cell_angle_alpha 90.00
_cell_angle_beta 90.00
_cell_angle_gamma 90.00
loop_
_atom_site_label
_atom_site_type_symbol
_atom_site_fract_x
_atom_site_fract_y
_atom_site_fract_z
_atom_site_occupancy
Rb1 Rb 0.000 0.066 0.250 1
Sr1 Sr 0.000 0.371 0.040 1
Ru1 Ru 0.000 0.205 0.750 1
O1 O 0.000 0.000 0.000 1
O2 O 0.000 0.248 0.606 1
O3 O 0.000 0.355 0.250 1
```

Results
Crystal system = orthorhombic
Energy relative to the elements, uncorrected = -1.788 eV/atom
Theoretical density = 4.65 g/cm³

=====

[3]
Below is a geometry-optimized CsK2ZnAg structure, with properties calculated at the PBE level.

```
data_CsK2ZnAg
_chemical_formula_sum 'Cs1 K2 Zn1 Ag1'
_space_group_name_H-M_alt 'P 4/m m m'
_space_group_IT_number 123
_space_group_name_Hall '-P 4 2'
_cell_length_a 6.623
_cell_length_b 6.623
_cell_length_c 5.366
_cell_angle_alpha 90.00
_cell_angle_beta 90.00
_cell_angle_gamma 90.00
loop_
_atom_site_label
_atom_site_type_symbol
_atom_site_fract_x
_atom_site_fract_y
_atom_site_fract_z
_atom_site_occupancy
Cs1 Cs 0.000 0.000 0.000 1
K1 K 0.000 0.500 0.500 1
Zn1 Zn 0.500 0.500 0.000 1
Ag1 Ag 0.500 0.500 0.500 1
```

Results
Crystal system = tetragonal
E above lowest polymorph = 0.000 eV per formula unit
Theoretical density = 2.71 g/cm³
ΔE_f = 0.13 eV per atom

=====

[4]
Below is a geometry-optimized Pm7SBr12 structure, with properties calculated at the PBE level.

```
data_Pm7SBr12
_chemical_formula_sum 'Pm21 S3 Br36'
_space_group_name_H-M_alt 'R -3'
_space_group_IT_number 148
_space_group_name_Hall '-R 3'
_cell_length_a 15.0088
_cell_length_b 15.0088
_cell_length_c 9.9957
_cell_angle_alpha 90.00
_cell_angle_beta 90.00
_cell_angle_gamma 120.00
loop_
_atom_site_label
_atom_site_type_symbol
_atom_site_fract_x
_atom_site_fract_y
_atom_site_fract_z
_atom_site_occupancy
Pm1 Pm 0.0000 0.0000 0.0000 1
Pm2 Pm 0.0441 0.8818 0.3449 1
S1 S 0.0000 0.0000 0.5000 1
Br1 Br 0.0242 0.4380 0.1628 1
Br2 Br 0.0503 0.8656 0.8404 1
```

Results
Crystal system = trigonal
Energy relative to the elements, uncorrected = -1.761 eV/atom
Theoretical density = 5.12 g/cm³

=====

[5]
Below is a geometry-optimized TbBrCl2 structure, with properties calculated at the PBE level.

```
data_TbBrCl2
_chemical_formula_sum 'Tb2 Br2 Cl4'
_space_group_name_H-M_alt 'P 1 21/m 1'
_space_group_IT_number 11
_space_group_name_Hall '-P 2yb'
_cell_length_a 3.875
_cell_length_b 8.645
_cell_length_c 7.411
_cell_angle_alpha 90.00
_cell_angle_beta 105.09
_cell_angle_gamma 90.00
loop_
_atom_site_label
_atom_site_type_symbol
_atom_site_fract_x
_atom_site_fract_y
_atom_site_fract_z
_atom_site_occupancy
Tb1 Tb 0.240 0.250 0.481 1
Br1 Br 0.403 0.750 0.807 1
Cl1 Cl 0.169 0.571 0.336 1
```

Results
Crystal system = monoclinic
Energy relative to the elements, uncorrected = -2.116 eV/atom
E above lowest polymorph = 0.063 eV per formula unit
Theoretical density = 4.29 g/cm³

=====

[6]
Below is a geometry-optimized Nd3MgPd12 structure, with properties calculated at the PBE level.

```
data_Nd3MgPd12
_chemical_formula_sum 'Nd3 Mg1 Pd12'
_space_group_name_H-M_alt 'P 4/m m m'
_space_group_IT_number 123
_space_group_name_Hall '-P 4 2'
_cell_length_a 4.165
_cell_length_b 4.165
_cell_length_c 16.440
_cell_angle_alpha 90.00
_cell_angle_beta 90.00
_cell_angle_gamma 90.00
loop_
_atom_site_label
_atom_site_type_symbol
_atom_site_fract_x
_atom_site_fract_y
_atom_site_fract_z
_atom_site_occupancy
Nd1 Nd 0.000 0.000 0.000 1
Nd2 Nd 0.000 0.000 0.259 1
Mg1 Mg 0.000 0.000 0.500 1
Pd1 Pd 0.000 0.500 0.129 1
Pd2 Pd 0.000 0.500 0.387 1
Pd3 Pd 0.500 0.500 0.000 1
Pd4 Pd 0.500 0.500 0.257 1
Pd5 Pd 0.500 0.500 0.500 1
```

Results
Crystal system = tetragonal
Theoretical density = 10.09 g/cm³
ΔE_f = -0.68 eV per atom

=====

[7]
Below is a geometry-optimized SrAc2Pr structure, with properties calculated at the PBE level.

```
data_SrAc2Pr
_chemical_formula_sum 'Sr1 Ac2 Pr1'
_space_group_name_H-M_alt 'P 4/m m m'
_space_group_IT_number 123
_space_group_name_Hall '-P 4 2'
_cell_length_a 5.655
_cell_length_b 5.655
_cell_length_c 5.470
_cell_angle_alpha 90.00
_cell_angle_beta 90.00
_cell_angle_gamma 90.00
loop_
_atom_site_label
_atom_site_type_symbol
_atom_site_fract_x
_atom_site_fract_y
_atom_site_fract_z
_atom_site_occupancy
Sr1 Sr 0.000 0.000 0.000 1
Ac1 Ac 0.000 0.500 0.500 1
Pr1 Pr 0.500 0.500 0.000 1
```

Results
Crystal system = tetragonal
E above lowest polymorph = 0.212 eV per formula unit
Theoretical density = 6.48 g/cm³
ΔE_f = 0.10 eV per atom

=====

[8]
Below is a geometry-optimized TcOs2Br structure, with properties calculated at the PBE level.

```
data_TcOs2Br
_chemical_formula_sum 'Tc2 Os4 Br2'
_space_group_name_H-M_alt 'C 1 m 1'
_space_group_IT_number 8
_space_group_name_Hall 'C -2y'
_cell_length_a 8.795
_cell_length_b 2.866
_cell_length_c 6.693
_cell_angle_alpha 90.00
_cell_angle_beta 90.18
_cell_angle_gamma 90.00
loop_
_atom_site_label
_atom_site_type_symbol
_atom_site_fract_x
_atom_site_fract_y
_atom_site_fract_z
_atom_site_occupancy
Tc1 Tc 0.000 0.000 0.000 1
Os1 Os 0.210 0.500 0.162 1
Os2 Os 0.426 0.000 0.303 1
Br1 Br 0.440 0.000 0.681 1
```

Results
Crystal system = monoclinic
Energy relative to the elements, uncorrected = 0.812 eV/atom
E above lowest polymorph = 0.495 eV per formula unit
Theoretical density = 10.99 g/cm³

=====

[9]
Below is a geometry-optimized InCo2TcP structure, with properties calculated at the PBE level.

```
data_InCo2TcP
_chemical_formula_sum 'In1 Co2 Tc1 P1'
_space_group_name_H-M_alt 'P 4/m m m'
_space_group_IT_number 123
_space_group_name_Hall '-P 4 2'
_cell_length_a 4.673
_cell_length_b 4.673
_cell_length_c 4.844
_cell_angle_alpha 90.00
_cell_angle_beta 90.00
_cell_angle_gamma 90.00
loop_
_atom_site_label
_atom_site_type_symbol
_atom_site_fract_x
_atom_site_fract_y
_atom_site_fract_z
_atom_site_occupancy
In1 In 0.000 0.000 0.000 1
Co1 Co 0.000 0.500 0.000 1
Tc1 Tc 0.500 0.500 0.500 1
P1 P 0.000 0.000 0.500 1
```

Results
Crystal system = tetragonal
Theoretical density = 5.68 g/cm³
ΔE_f = 1.92 eV per atom

=====

[10]
Below is a geometry-optimized OsRu3 structure, with properties calculated at the PBE level.

```
data_OsRu3
_chemical_formula_sum 'Os4 Ru12'
_space_group_name_H-M_alt 'C m c m'
_space_group_IT_number 63
_space_group_name_Hall '-C 2c 2'
_cell_length_a 7.447
_cell_length_b 7.439
_cell_length_c 4.391
_cell_angle_alpha 90.00
_cell_angle_beta 90.00
_cell_angle_gamma 90.00
loop_
_atom_site_label
_atom_site_type_symbol
_atom_site_fract_x
_atom_site_fract_y
_atom_site_fract_z
_atom_site_occupancy
Os1 Os 0.000 0.084 0.250 1
Ru1 Ru 0.000 0.417 0.250 1
Ru2 Ru 0.167 0.249 0.750 1
```

Results
Crystal system = orthorhombic
Theoretical density = 13.47 g/cm³
ΔE_f = 0.40 eV per atom

=====

[11]
Below is a geometry-optimized LiGa2Si structure, with properties calculated at the PBE level.

```
data_LiGa2Si
_chemical_formula_sum 'Li3 Ga6 Si3'
_space_group_name_H-M_alt 'R -3 m'
_space_group_IT_number 166
_space_group_name_Hall '-R 3 2"'
_cell_length_a 4.0632
_cell_length_b 4.0632
_cell_length_c 15.4523
_cell_angle_alpha 90.00
_cell_angle_beta 90.00
_cell_angle_gamma 120.00
loop_
_atom_site_label
_atom_site_type_symbol
_atom_site_fract_x
_atom_site_fract_y
_atom_site_fract_z
_atom_site_occupancy
Li1 Li 0.0000 0.0000 0.0000 1
Ga1 Ga 0.0000 0.0000 0.2403 1
Si1 Si 0.0000 0.0000 0.5000 1
```

Results
Crystal system = trigonal
Energy relative to the elements, uncorrected = 0.046 eV/atom
Theoretical density = 3.93 g/cm³

=====

[12]
Below is a geometry-optimized Be2CrCl structure, with properties calculated at the PBE level.

```
data_Be2CrCl
_chemical_formula_sum 'Be8 Cr4 Cl4'
_space_group_name_H-M_alt 'F m -3 m'
_space_group_IT_number 225
_space_group_name_Hall '-F 4 2 3'
_cell_length_a 5.815
_cell_length_b 5.815
_cell_length_c 5.815
_cell_angle_alpha 90.00
_cell_angle_beta 90.00
_cell_angle_gamma 90.00
loop_
_atom_site_label
_atom_site_type_symbol
_atom_site_fract_x
_atom_site_fract_y
_atom_site_fract_z
_atom_site_occupancy
Be1 Be 0.250 0.250 0.250 1
Cr1 Cr 0.000 0.000 0.000 1
Cl1 Cl 0.000 0.000 0.500 1
```

Results
Crystal system = cubic
Energy relative to the elements, uncorrected = 1.346 eV/atom
E above lowest polymorph = 4.609 eV per formula unit
Theoretical density = 3.56 g/cm³

=====

| no. | size of the total moment (μB/atom) |
| --- | --- |
| 1 | 0.00 |
| 2 | 0.00 |
| 3 | 0.00 |
| 4 | 0.00 |
| 5 | 0.00 |
| 6 | 0.00 |
| 7 | 0.00 |
| 8 | 0.00 |
| 9 | 1.39 |
| 10 | 0.00 |
| 11 | 0.00 |
| 12 | 0.00 |